Entry from Alexandria via LeMat-Bulk: SmThN2 at its PBEsol-relaxed geometry (meta-GGA SCAN).

extended XYZ file:
```
4
Lattice="3.6007 0.0000 0.0000 1.8004 3.1183 0.0000 1.8004 1.0394 5.8313" Properties=species:S:1:pos:R:3 pbc="T T T"
Th 3.6007 2.0789 2.9157
Sm 0.0000 0.0000 0.0000
N 1.8004 1.0394 1.4977
N 5.4011 3.1183 4.3336
```

Computed properties:
Formation energy without anion corrections: -1.764 eV/atom
Space group: R-3m (166)